# Zn2SiRu

Crystalline Zn2SiRu at its relaxed geometry (PBEsol, Alexandria via LeMat-Bulk).

abc: 2.750 4.619 8.891
angles: 90.00 90.00 90.00
Space group Cmmm (No. 65)
Symmetry-distinct sites (fractional):
Zn: 0.000 0.000 0.241 x4
Si: 0.000 0.500 0.500 x2
Ru: 0.000 0.500 0.000 x2

Results
Total moment ... 0.0 μB/cell
Uncorrected formation energy ... 247 meV/atom
Total DFT energy (no corrections) ... -4.5238 eV/atom


# ZnSi2Ru

Crystalline ZnSi2Ru at its relaxed geometry (PBEsol, Alexandria via LeMat-Bulk).

abc: 2.927 3.456 5.197
angles: 90.00 90.00 90.00
Space group Pmmm (No. 47)
Symmetry-distinct sites (fractional):
Zn: 0.000 0.000 0.000 x1
Si: 0.500 0.500 0.255 x2
Ru: 0.000 0.000 0.500 x1

Results
Total moment ... 0.0 μB/cell
Uncorrected formation energy ... -103 meV/atom
Total DFT energy (no corrections) ... -5.9148 eV/atom


# ZnSi2Ru

Crystalline ZnSi2Ru at its relaxed geometry (PBEsol, Alexandria via LeMat-Bulk).

abc: 2.947 4.076 4.437
angles: 90.00 90.00 90.00
Space group Pmmm (No. 47)
Symmetry-distinct sites (fractional):
Zn: 0.000 0.000 0.000 x1
Si: 0.000 0.500 0.500 x1
Si: 0.500 0.500 0.000 x1
Ru: 0.500 0.000 0.500 x1

Results
Total moment ... 0.0 μB/cell
Uncorrected formation energy ... 75 meV/atom
Total DFT energy (no corrections) ... -5.7369 eV/atom


# ZnSiRu2

Crystalline ZnSiRu2 at its relaxed geometry (PBEsol, Alexandria via LeMat-Bulk).

abc: 2.713 2.713 7.492
angles: 90.00 90.00 90.00
Space group P4mm (No. 99)
Symmetry-distinct sites (fractional):
Zn: 0.000 0.000 0.000 x1
Si: 0.500 0.500 0.706 x1
Ru: 0.000 0.000 0.483 x1
Ru: 0.500 0.500 0.250 x1

Results
Total moment ... 0.0 μB/cell
Uncorrected formation energy ... 20 meV/atom
Total DFT energy (no corrections) ... -6.8985 eV/atom


# Zn2SiRu

Crystalline Zn2SiRu at its relaxed geometry (PBEsol, Alexandria via LeMat-Bulk).

abc: 2.668 2.668 7.960
angles: 90.00 90.00 90.00
Space group P4/mmm (No. 123)
Symmetry-distinct sites (fractional):
Zn: 0.000 0.000 0.233 x2
Si: 0.500 0.500 0.500 x1
Ru: 0.500 0.500 0.000 x1

Results
Total moment ... 0.3 μB/cell
Uncorrected formation energy ... 226 meV/atom
Total DFT energy (no corrections) ... -4.5451 eV/atom


# ZnSi2Ru

Crystalline ZnSi2Ru at its relaxed geometry (PBEsol, Alexandria via LeMat-Bulk).

abc: 8.740 2.877 4.233
angles: 90.00 95.28 90.00
Space group Cm (No. 8)
Symmetry-distinct sites (fractional):
Zn: 0.000 0.000 0.000 x2
Si: 0.244 0.000 0.777 x2
Si: 0.478 0.000 0.486 x2
Ru: 0.249 0.500 0.293 x2

Results
Total moment ... 0.0 μB/cell
Uncorrected formation energy ... -150 meV/atom
Total DFT energy (no corrections) ... -5.9619 eV/atom


# ZnSi2Ru

Crystalline ZnSi2Ru at its relaxed geometry (PBEsol, Alexandria via LeMat-Bulk).

abc: 3.807 3.807 3.584
angles: 90.00 90.00 90.00
Space group P4/mmm (No. 123)
Symmetry-distinct sites (fractional):
Zn: 0.000 0.000 0.000 x1
Si: 0.000 0.500 0.500 x2
Ru: 0.500 0.500 0.000 x1

Results
Total moment ... 0.0 μB/cell
Uncorrected formation energy ... 26 meV/atom
Total DFT energy (no corrections) ... -5.7862 eV/atom


# ZnSiRu2

Crystalline ZnSiRu2 at its relaxed geometry (PBEsol, Alexandria via LeMat-Bulk).

abc: 4.167 4.167 2.907
angles: 90.00 90.00 90.00
Space group P4/mmm (No. 123)
Symmetry-distinct sites (fractional):
Zn: 0.000 0.000 0.000 x1
Si: 0.500 0.500 0.000 x1
Ru: 0.000 0.500 0.500 x2

Results
Total moment ... 0.0 μB/cell
Uncorrected formation energy ... -320 meV/atom
Total DFT energy (no corrections) ... -7.2380 eV/atom


# ZrSi2Ru

Crystalline ZrSi2Ru at its relaxed geometry (PBEsol, Alexandria via LeMat-Bulk).

abc: 2.952 2.952 6.688
angles: 90.00 90.00 90.00
Space group P4/mmm (No. 123)
Symmetry-distinct sites (fractional):
Zr: 0.000 0.000 0.000 x1
Si: 0.500 0.500 0.289 x2
Ru: 0.000 0.000 0.500 x1

Results
Total moment ... 0.0 μB/cell
Uncorrected formation energy ... -683 meV/atom
Total DFT energy (no corrections) ... -8.3717 eV/atom


# Zr2SiRu

Crystalline Zr2SiRu at its relaxed geometry (PBEsol, Alexandria via LeMat-Bulk).

abc: 6.398 6.398 6.398
angles: 90.00 90.00 90.00
Space group F-43m (No. 216)
Symmetry-distinct sites (fractional):
Zr: 0.000 0.000 0.000 x4
Zr: 0.250 0.250 0.250 x4
Si: 0.250 0.250 0.750 x4
Ru: 0.000 0.000 0.500 x4

Results
Total moment ... 0.0 μB/cell
Uncorrected formation energy ... -322 meV/atom
Total DFT energy (no corrections) ... -8.8462 eV/atom


# Zr2SiRu

Crystalline Zr2SiRu at its relaxed geometry (PBEsol, Alexandria via LeMat-Bulk).

abc: 4.247 4.247 7.534
angles: 90.00 90.00 90.00
Space group I4/mmm (No. 139)
Symmetry-distinct sites (fractional):
Zr: 0.000 0.500 0.250 x4
Si: 0.000 0.000 0.000 x2
Ru: 0.000 0.000 0.500 x2

Results
Total moment ... 0.0 μB/cell
Uncorrected formation energy ... -502 meV/atom
Total DFT energy (no corrections) ... -9.0263 eV/atom


# Zr2Si2Ru

Crystalline Zr2Si2Ru at its relaxed geometry (PBEsol, Alexandria via LeMat-Bulk).

abc: 6.302 6.302 4.102
angles: 90.00 90.00 90.00
Space group P4/mbm (No. 127)
Symmetry-distinct sites (fractional):
Zr: 0.173 0.327 0.000 x4
Si: 0.136 0.636 0.500 x4
Ru: 0.000 0.000 0.500 x2

Results
Total moment ... 0.0 μB/cell
Uncorrected formation energy ... -964 meV/atom
Total DFT energy (no corrections) ... -8.9336 eV/atom